1.
DFT (PBE) results for AlCu2Te after structural relaxation.

Cell: 4.586 4.586 3.468 Å, 90.00 90.00 106.78°
Sites, in units of the cell vectors:
Te (0.500, 0.000, 0.500)
Cu (0.500, 0.500, 0.000)
Cu (0.000, 0.000, 0.000)
Al (0.000, 0.500, 0.500)

## Properties
Energy relative to the lowest polymorph listed for this composition (kJ/mol of atoms): 20.5
Energy relative to the elements, uncorrected (meV per atom): 264
Total magnetic moment (μB/atom): 0.0000

2.
DFT (PBE) results for MgSi2Bi2Pt7 after structural relaxation.

Cell: 3.967 3.967 15.212 Å, 82.48 82.48 90.04°
Sites, in units of the cell vectors:
Bi (0.210, 0.210, 0.581)
Bi (0.790, 0.790, 0.419)
Pt (0.431, 0.931, 0.138)
Pt (0.500, 0.500, 0.000)
Pt (0.569, 0.069, 0.862)
Pt (0.069, 0.569, 0.862)
Pt (0.931, 0.431, 0.138)
Pt (0.693, 0.693, 0.614)
Pt (0.307, 0.307, 0.386)
Si (0.615, 0.615, 0.771)
Si (0.385, 0.385, 0.229)
Mg (0.000, 0.000, 0.000)

## Properties
Energy relative to the elements, uncorrected (meV per atom): -498
Total magnetic moment (μB/atom): 0.0000

3.
DFT (PBE) results for ZrTi2Co2 after structural relaxation.

Cell: 3.316 6.168 8.031 Å, 90.00 90.00 105.59°
Sites, in units of the cell vectors:
Co (0.755, 0.510, 0.169)
Co (0.045, 0.090, 0.518)
Co (0.955, 0.910, 0.018)
Co (0.245, 0.490, 0.669)
Ti (0.110, 0.219, 0.195)
Ti (0.313, 0.626, 0.970)
Ti (0.890, 0.781, 0.695)
Ti (0.687, 0.374, 0.470)
Zr (0.594, 0.187, 0.852)
Zr (0.406, 0.813, 0.352)

## Properties
Energy relative to the lowest polymorph listed for this composition (kJ/mol of atoms): 0.9
Total magnetic moment (μB/atom): 0.0000

4.
DFT (PBE) results for Ba2ScReBi after structural relaxation.

Cell: 5.906 5.105 5.906 Å, 90.00 90.00 90.00°
Sites, in units of the cell vectors:
Re (0.000, 0.000, 0.000)
Ba (0.000, 0.000, 0.500)
Ba (0.500, 0.000, 0.000)
Sc (0.000, 0.500, 0.000)
Bi (0.500, 0.500, 0.500)

## Properties
E_tot (eV per atom): -4.9796
Total magnetic moment (μB/atom): 0.0000

5.
DFT (PBE) results for MnRe2Hg after structural relaxation.

Cell: 3.138 3.138 6.478 Å, 90.00 90.00 90.00°
Each line ends with the local moment (μB).
Sites, in units of the cell vectors:
Re (0.000, 0.000, 0.944)  -0.16
Re (0.000, 0.000, 0.556)  -0.16
Hg (0.500, 0.500, 0.250)  0.00
Mn (0.500, 0.500, 0.750)  2.02

## Properties
E_tot (eV per atom): -8.0354
Total magnetic moment (μB/atom): 0.4358

6.
DFT (PBE) results for Sr4InRu after structural relaxation.

Cell: 6.638 6.638 6.638 Å, 60.00 60.00 60.00°
Each line ends with the local moment (μB).
Sites, in units of the cell vectors:
Sr (0.877, 0.374, 0.374)  -0.06
Sr (0.374, 0.374, 0.374)  -0.06
Sr (0.374, 0.374, 0.877)  -0.06
Sr (0.374, 0.877, 0.374)  -0.06
In (0.750, 0.750, 0.750)  0.00
Ru (0.000, 0.000, 0.000)  1.18

## Properties
E_tot (eV per atom): -2.2183
Total magnetic moment (μB/atom): 0.1002

7.
DFT (PBE) results for CsHg2TeS2 after structural relaxation.

Cell: 4.774 8.792 10.395 Å, 99.96 90.00 90.00°
Sites, in units of the cell vectors:
S (0.540, 0.823, 0.798)
S (0.040, 0.177, 0.202)
S (0.960, 0.823, 0.798)
S (0.460, 0.177, 0.202)
Te (0.750, 0.369, 0.629)
Te (0.250, 0.631, 0.371)
Hg (0.750, 0.436, 0.340)
Hg (0.250, 0.108, 0.516)
Hg (0.250, 0.564, 0.660)
Hg (0.750, 0.892, 0.484)
Cs (0.750, 0.801, 0.117)
Cs (0.250, 0.199, 0.883)

## Properties
Energy relative to the elements, uncorrected (meV per atom): -262
Total magnetic moment (μB/atom): 0.0002

8.
DFT (PBE) results for AcPu4Se6 after structural relaxation.

Cell: 4.199 7.179 21.154 Å, 90.00 90.00 107.00°
Each line ends with the local moment (μB).
Sites, in units of the cell vectors:
Se (0.956, 0.912, 0.836)  0.07
Se (0.770, 0.540, 0.413)  0.10
Se (0.770, 0.540, 0.087)  0.10
Se (0.500, 0.000, 0.000)  0.11
Se (0.956, 0.912, 0.664)  0.07
Se (0.044, 0.088, 0.336)  0.07
Se (0.044, 0.088, 0.164)  0.07
Se (0.500, 0.000, 0.500)  0.11
Se (0.230, 0.460, 0.587)  0.10
Se (0.230, 0.460, 0.913)  0.10
Se (0.679, 0.358, 0.750)  0.05
Se (0.321, 0.642, 0.250)  0.05
Pu (0.138, 0.276, 0.459)  -5.47
Pu (0.862, 0.724, 0.959)  -5.47
Pu (0.862, 0.724, 0.541)  -5.47
Pu (0.594, 0.188, 0.874)  -5.42
Pu (0.406, 0.812, 0.374)  -5.42
Pu (0.594, 0.188, 0.626)  -5.42
Pu (0.406, 0.812, 0.126)  -5.42
Pu (0.138, 0.276, 0.041)  -5.47
Ac (0.343, 0.685, 0.750)  -0.04
Ac (0.657, 0.315, 0.250)  -0.04

## Properties
Energy relative to the elements, uncorrected (meV per atom): -1629
Total magnetic moment (μB/atom): 2.0775

9.
DFT (PBE) results for Ca5SmGa6 after structural relaxation.

Cell: 5.161 7.401 8.972 Å, 65.64 73.04 90.00°
Sites, in units of the cell vectors:
Ca (0.328, 0.829, 0.342)
Ca (0.666, 0.666, 0.668)
Ca (0.672, 0.171, 0.658)
Ca (0.334, 0.334, 0.332)
Ca (0.000, 0.500, 0.000)
Ga (0.165, 0.412, 0.671)
Ga (0.500, 0.753, 0.000)
Ga (0.165, 0.916, 0.671)
Ga (0.835, 0.588, 0.329)
Ga (0.500, 0.247, 0.000)
Ga (0.835, 0.084, 0.329)
Sm (0.000, 0.000, 0.000)

## Properties
E_tot (eV per atom): -3.2048
Total magnetic moment (μB/atom): 0.0000

10.
DFT (PBE) results for Sc2Bi2S after structural relaxation.

Cell: 6.911 6.911 5.083 Å, 90.00 90.00 90.00°
Sites, in units of the cell vectors:
Bi (0.837, 0.337, 0.500)
Bi (0.337, 0.163, 0.500)
Bi (0.163, 0.663, 0.500)
Bi (0.663, 0.837, 0.500)
S (0.500, 0.500, 0.000)
S (0.000, 0.000, 0.000)
Sc (0.167, 0.333, 0.000)
Sc (0.667, 0.167, 0.000)
Sc (0.833, 0.667, 0.000)
Sc (0.333, 0.833, 0.000)

## Properties
Energy relative to the elements, uncorrected (meV per atom): -745
Total magnetic moment (μB/atom): 0.0000

11.
DFT (PBE) results for ScTlMo2 after structural relaxation.

Cell: 4.846 2.933 5.487 Å, 82.12 90.00 90.00°
Sites, in units of the cell vectors:
Mo (0.000, 0.939, 0.039)
Mo (0.000, 0.561, 0.461)
Tl (0.500, 0.750, 0.750)
Sc (0.500, 0.250, 0.250)

## Properties
Energy relative to the lowest polymorph listed for this composition (kJ/mol of atoms): 25.7
Total magnetic moment (μB/atom): 0.0000

12.
DFT (PBE) results for LaZrSbTe2 after structural relaxation.

Cell: 5.983 5.983 5.942 Å, 90.00 90.00 90.00°
Each line ends with the local moment (μB).
Sites, in units of the cell vectors:
Zr (0.500, 0.500, 0.500)  -1.39
Te (0.000, 0.500, 0.000)  0.09
Te (0.500, 0.000, 0.000)  0.09
Sb (0.000, 0.000, 0.500)  0.12
La (0.000, 0.000, 0.000)  0.02

## Properties
Energy relative to the lowest polymorph listed for this composition (kJ/mol of atoms): 101.3
Energy relative to the elements, uncorrected (meV per atom): 453
Total magnetic moment (μB/atom): 0.2897

13.
DFT (PBE) results for Tb4Nd5Ho4 after structural relaxation.

Cell: 5.070 9.528 9.528 Å, 85.94 74.57 74.57°
Sites, in units of the cell vectors:
Ho (0.076, 0.538, 0.311)
Ho (0.386, 0.689, 0.538)
Ho (0.614, 0.311, 0.462)
Ho (0.924, 0.462, 0.689)
Tb (0.155, 0.078, 0.613)
Tb (0.845, 0.922, 0.387)
Tb (0.767, 0.387, 0.078)
Tb (0.233, 0.613, 0.922)
Nd (0.462, 0.234, 0.843)
Nd (0.000, 0.000, 0.000)
Nd (0.305, 0.157, 0.234)
Nd (0.538, 0.766, 0.157)
Nd (0.695, 0.843, 0.766)

## Properties
E_tot (eV per atom): -4.6494
Total magnetic moment (μB/atom): 0.0000

14.
DFT (PBE) results for SiPdS after structural relaxation.

Cell: 5.574 7.664 9.195 Å, 75.65 72.36 68.68°
Sites, in units of the cell vectors:
S (0.433, 0.300, 0.327)
S (0.940, 0.800, 0.827)
S (0.069, 0.190, 0.177)
S (0.711, 0.590, 0.342)
S (0.563, 0.690, 0.677)
S (0.356, 0.090, 0.842)
Si (0.536, 0.772, 0.900)
Si (0.792, 0.272, 0.400)
Si (0.985, 0.697, 0.608)
Si (0.977, 0.761, 0.224)
Si (0.710, 0.197, 0.108)
Si (0.038, 0.261, 0.724)
Pd (0.080, 0.908, 0.384)
Pd (0.431, 0.603, 0.145)
Pd (0.821, 0.103, 0.645)
Pd (0.628, 0.408, 0.884)
Pd (0.343, 0.429, 0.642)
Pd (0.586, 0.929, 0.142)

## Properties
Energy relative to the elements, uncorrected (meV per atom): -293
Total magnetic moment (μB/atom): 0.0000

15.
DFT (PBE) results for Sm12Y6Tm after structural relaxation.

Cell: 8.636 8.636 8.636 Å, 89.18 89.18 89.18°
Sites, in units of the cell vectors:
Sm (0.462, 0.566, 0.222)
Sm (0.803, 0.640, 0.983)
Sm (0.360, 0.017, 0.197)
Sm (0.983, 0.803, 0.640)
Sm (0.778, 0.538, 0.434)
Sm (0.566, 0.222, 0.462)
Sm (0.017, 0.197, 0.360)
Sm (0.434, 0.778, 0.538)
Sm (0.222, 0.462, 0.566)
Sm (0.197, 0.360, 0.017)
Sm (0.640, 0.983, 0.803)
Sm (0.538, 0.434, 0.778)
Y (0.739, 0.903, 0.300)
Y (0.700, 0.261, 0.097)
Y (0.261, 0.097, 0.700)
Y (0.300, 0.739, 0.903)
Y (0.903, 0.300, 0.739)
Y (0.097, 0.700, 0.261)
Tm (0.000, 0.000, 0.000)

## Properties
Energy relative to the lowest polymorph listed for this composition (kJ/mol of atoms): 0.0
Total magnetic moment (μB/atom): 0.0000

16.
DFT (PBE) results for LaTcN2 after structural relaxation.

Cell: 3.564 5.893 12.227 Å, 90.00 90.00 90.00°
Sites, in units of the cell vectors:
N (0.250, 0.728, 0.518)
N (0.750, 0.272, 0.482)
N (0.750, 0.788, 0.314)
N (0.750, 0.712, 0.814)
N (0.750, 0.228, 0.982)
N (0.250, 0.288, 0.186)
N (0.250, 0.772, 0.018)
N (0.250, 0.212, 0.686)
La (0.250, 0.065, 0.354)
La (0.750, 0.565, 0.146)
La (0.750, 0.935, 0.646)
La (0.250, 0.435, 0.854)
Tc (0.750, 0.608, 0.444)
Tc (0.250, 0.392, 0.556)
Tc (0.250, 0.108, 0.056)
Tc (0.750, 0.892, 0.944)

## Properties
Energy relative to the lowest polymorph listed for this composition (kJ/mol of atoms): 14.9
Energy relative to the elements, uncorrected (meV per atom): -740
Total magnetic moment (μB/atom): 0.0000

17.
DFT (PBE) results for Ba3SbAs2Au6 after structural relaxation.

Cell: 6.894 6.894 8.503 Å, 90.00 90.00 120.00°
Sites, in units of the cell vectors:
Sb (0.000, 0.000, 0.500)
Ba (0.333, 0.667, 0.670)
Ba (0.000, 0.000, 0.000)
Ba (0.667, 0.333, 0.330)
Au (0.820, 0.639, 0.703)
Au (0.361, 0.180, 0.703)
Au (0.180, 0.820, 0.297)
Au (0.180, 0.361, 0.297)
Au (0.639, 0.820, 0.297)
Au (0.820, 0.180, 0.703)
As (0.333, 0.667, 0.087)
As (0.667, 0.333, 0.913)

## Properties
Energy relative to the elements, uncorrected (meV per atom): -515
Total magnetic moment (μB/atom): 0.0000

18.
DFT (PBE) results for NdSmSiPd after structural relaxation.

Cell: 5.123 5.123 5.123 Å, 60.00 60.00 60.00°
Sites, in units of the cell vectors:
Nd (0.000, 0.000, 0.000)
Sm (0.500, 0.500, 0.500)
Pd (0.250, 0.250, 0.250)
Si (0.750, 0.750, 0.750)

## Properties
Energy relative to the lowest polymorph listed for this composition (kJ/mol of atoms): 12.5
Energy relative to the elements, uncorrected (meV per atom): -635
Total magnetic moment (μB/atom): 0.0002

19.
DFT (PBE) results for LiDyCu5 after structural relaxation.

Cell: 5.064 8.063 10.214 Å, 90.00 90.00 90.00°
Sites, in units of the cell vectors:
Li (0.250, 0.861, 0.860)
Li (0.750, 0.139, 0.140)
Li (0.250, 0.361, 0.640)
Li (0.750, 0.639, 0.360)
Cu (0.750, 0.559, 0.598)
Cu (0.750, 0.317, 0.750)
Cu (0.250, 0.683, 0.250)
Cu (0.494, 0.569, 0.811)
Cu (0.006, 0.569, 0.811)
Cu (0.006, 0.069, 0.689)
Cu (0.750, 0.406, 0.983)
Cu (0.250, 0.941, 0.098)
Cu (0.506, 0.431, 0.189)
Cu (0.506, 0.931, 0.311)
Cu (0.250, 0.441, 0.402)
Cu (0.994, 0.931, 0.311)
Cu (0.750, 0.059, 0.902)
Cu (0.250, 0.183, 0.250)
Cu (0.750, 0.817, 0.750)
Cu (0.250, 0.594, 0.017)
Cu (0.494, 0.069, 0.689)
Cu (0.994, 0.431, 0.189)
Cu (0.250, 0.094, 0.483)
Cu (0.750, 0.906, 0.517)
Dy (0.750, 0.754, 0.063)
Dy (0.250, 0.246, 0.937)
Dy (0.750, 0.254, 0.437)
Dy (0.250, 0.746, 0.563)

## Properties
E_tot (eV per atom): -4.0167
Total magnetic moment (μB/atom): 0.0000

20.
DFT (PBE) results for Ca4Cd2Ag after structural relaxation.

Cell: 6.570 6.570 6.570 Å, 110.97 108.73 108.73°
Sites, in units of the cell vectors:
Ca (0.000, 0.000, 0.500)
Ca (0.500, 0.500, 0.500)
Ca (0.500, 0.000, 0.000)
Ca (0.000, 0.500, 0.000)
Cd (0.500, 0.000, 0.500)
Cd (0.500, 0.500, 0.000)
Ag (0.000, 0.000, 0.000)

## Properties
E_tot (eV per atom): -2.0373
Total magnetic moment (μB/atom): 0.0000

21.
DFT (PBE) results for Dy3YFe after structural relaxation.

Cell: 5.265 5.265 5.265 Å, 90.00 90.00 90.00°
Sites, in units of the cell vectors:
Dy (0.000, 0.000, 0.500)
Dy (0.500, 0.000, 0.000)
Dy (0.000, 0.500, 0.000)
Fe (0.000, 0.000, 0.000)
Y (0.500, 0.500, 0.500)

## Properties
E_tot (eV per atom): -5.6302
Total magnetic moment (μB/atom): 0.0003